CrReIO2 | GGA+U | optimized geometry

Geometry as POSCAR:
```
CrReIO2
1.0
3.8333 0.0000 0.0000
0.0000 3.8333 0.0000
0.0000 0.0000 6.4764
Cr Re I O
1 1 1 2
direct
0.0000 0.0000 0.0000
0.5000 0.5000 0.5000
0.0000 0.0000 0.5000
0.0000 0.5000 0.0000
0.5000 0.0000 0.0000
```

Output
Mass density   6929 kg/m³
Relative energy among the computed polymorphs   941 meV/atom
Space-group type   No. 123
Uncorrected energy   -5.8709 eV/atom